First-principles (PBE) data for a relaxed structure of Y7Ho4Mg, as listed in the Alexandria database.

Output
formation energy	0.117	eV/atom
density	5.7	g cm⁻³
crystal system	triclinic
E_tot	-63.74	eV for the cell shown

a b c (Å): 6.4646 7.1040 11.8811
angles (deg): 53.60 68.32 61.03
Closest atoms and distances in Å follow each position.
Fractional coordinates of all 12 atoms:
Y (0.7587, 0.5645, 0.9110)  1 Mg 3.12, 1 Ho 3.28, 4 Y 3.32-3.48
Y (0.2413, 0.4355, 0.0890)  1 Mg 3.12, 1 Ho 3.28, 4 Y 3.32-3.48
Y (0.1874, 0.9065, 0.7381)  1 Mg 3.24, 4 Y 3.48-3.55, 3 Ho 3.54-3.58
Y (0.8126, 0.0935, 0.2619)  1 Mg 3.24, 4 Y 3.48-3.55, 3 Ho 3.54-3.58
Y (0.2840, 0.9508, 0.4153)  5 Y 3.32-3.55, 5 Ho 3.33-3.66
Y (0.5000, 0.0000, 0.0000)  2 Mg 3.23, 2 Y 3.32, 2 Ho 3.37
Y (0.7160, 0.0492, 0.5847)  5 Y 3.32-3.55, 5 Ho 3.33-3.66
Ho (0.7695, 0.5778, 0.2959)  6 Y 3.28-3.58, 3 Ho 3.30-3.61, 1 Mg 3.39
Ho (0.2305, 0.4222, 0.7041)  6 Y 3.28-3.58, 3 Ho 3.30-3.61, 1 Mg 3.39
Ho (0.7390, 0.5082, 0.6279)  4 Ho 3.30-3.62, 6 Y 3.47-3.69
Ho (0.2610, 0.4918, 0.3721)  4 Ho 3.30-3.62, 6 Y 3.47-3.69
Mg (0.0000, 0.0000, 0.0000)  6 Y 3.12-3.24, 2 Ho 3.39